No. 1
Entry from Alexandria: an optimized crystal structure of Tm6Bi3C (PBE).

Geometry as POSCAR:
```
Tm6Bi3C
1.0
5.887 -7.129 0.000
5.887 7.129 0.000
0.000 0.000 7.202
Tm Bi C
12 6 2
Direct
0.051 0.949 0.500 Tm
0.101 0.590 0.500 Tm
0.229 0.771 0.936 Tm
0.297 0.387 0.969 Tm
0.387 0.297 0.469 Tm
0.410 0.899 0.500 Tm
0.590 0.101 0.000 Tm
0.613 0.703 0.969 Tm
0.703 0.613 0.469 Tm
0.771 0.229 0.436 Tm
0.899 0.410 0.000 Tm
0.949 0.051 0.000 Tm
0.075 0.271 0.668 Bi
0.271 0.075 0.168 Bi
0.392 0.608 0.283 Bi
0.608 0.392 0.783 Bi
0.729 0.925 0.668 Bi
0.925 0.729 0.168 Bi
0.192 0.808 0.633 C
0.808 0.192 0.133 C
```

Calculated values
Symmetry ... No. 36
Fermi-level density of states ... 0.91 states/eV/atom
Total energy ... -5.134 eV per atom

=====

No. 2
Entry from Alexandria: an optimized crystal structure of Tm3BiC (PBE).

Geometry as POSCAR:
```
Tm3BiC
1.0
2.389 -10.714 0.000
2.389 10.714 0.000
0.000 0.000 4.796
Tm Bi C
6 2 2
Direct
0.054 0.946 0.750 Tm
0.177 0.823 0.250 Tm
0.435 0.565 0.750 Tm
0.565 0.435 0.250 Tm
0.823 0.177 0.750 Tm
0.946 0.054 0.250 Tm
0.328 0.672 0.250 Bi
0.672 0.328 0.750 Bi
0.069 0.931 0.250 C
0.931 0.069 0.750 C
```

Calculated values
Symmetry ... No. 63
Fermi-level density of states ... 0.43 states/eV/atom
Distance to the lowest polymorph of the same formula ... 0.0000 eV per atom

=====

No. 3
Entry from Alexandria: an optimized crystal structure of Tm5BiC (PBE).

Geometry as POSCAR:
```
Tm5BiC
1.0
5.812 -4.050 0.000
5.812 4.050 0.000
-3.585 0.000 8.453
Tm Bi C
10 2 2
Direct
0.062 0.938 0.750 Tm
0.095 0.318 0.640 Tm
0.177 0.643 0.030 Tm
0.318 0.095 0.140 Tm
0.357 0.823 0.470 Tm
0.643 0.177 0.530 Tm
0.682 0.905 0.860 Tm
0.823 0.357 0.970 Tm
0.905 0.682 0.360 Tm
0.938 0.062 0.250 Tm
0.427 0.573 0.750 Bi
0.573 0.427 0.250 Bi
0.000 0.000 0.000 C
0.000 0.000 0.500 C
```

Calculated values
Symmetry ... No. 15
Fermi-level density of states ... 0.97 states/eV/atom
Total energy ... -5.236 eV per atom

=====

No. 4
Entry from Alexandria: an optimized crystal structure of Tm3Bi2C (PBE).

Geometry as POSCAR:
```
Tm3Bi2C
1.0
7.172 -3.148 0.000
7.172 3.148 0.000
-1.730 0.000 6.857
Tm Bi C
6 4 2
Direct
0.083 0.917 0.750 Tm
0.377 0.390 0.440 Tm
0.390 0.377 0.940 Tm
0.610 0.623 0.060 Tm
0.623 0.610 0.560 Tm
0.917 0.083 0.250 Tm
0.173 0.191 0.089 Bi
0.191 0.173 0.589 Bi
0.809 0.827 0.411 Bi
0.827 0.809 0.911 Bi
0.449 0.551 0.750 C
0.551 0.449 0.250 C
```

Calculated values
Symmetry ... No. 15
Fermi-level density of states ... 0.19 states/eV/atom
Total energy ... -5.610 eV per atom

=====

No. 5
Entry from Alexandria: an optimized crystal structure of Tm8BiC4 (PBE).

Geometry as POSCAR:
```
Tm8BiC4
1.0
8.602 -1.792 0.000
8.602 1.792 0.000
-7.706 0.000 8.872
Tm Bi C
8 1 4
Direct
0.041 0.041 0.233 Tm
0.293 0.293 0.431 Tm
0.335 0.335 0.158 Tm
0.367 0.367 0.911 Tm
0.633 0.633 0.089 Tm
0.665 0.665 0.842 Tm
0.707 0.707 0.569 Tm
0.959 0.959 0.767 Tm
0.000 0.000 0.500 Bi
0.147 0.147 0.959 C
0.335 0.335 0.672 C
0.665 0.665 0.328 C
0.853 0.853 0.041 C
```

Calculated values
Symmetry ... No. 12
Fermi-level density of states ... 0.77 states/eV/atom
Distance to the lowest polymorph of the same formula ... 0.0000 eV per atom

=====

No. 6
Entry from Alexandria: an optimized crystal structure of Tm6Bi2C (PBE).

Geometry as POSCAR:
```
Tm6Bi2C
1.0
6.415 0.000 0.000
0.000 7.785 0.000
-6.019 0.000 9.687
Tm Bi C
12 4 2
Direct
0.136 0.023 0.246 Tm
0.136 0.477 0.746 Tm
0.180 0.715 0.041 Tm
0.180 0.785 0.541 Tm
0.363 0.162 0.038 Tm
0.363 0.338 0.538 Tm
0.637 0.662 0.462 Tm
0.637 0.838 0.962 Tm
0.820 0.215 0.459 Tm
0.820 0.285 0.959 Tm
0.864 0.523 0.254 Tm
0.864 0.977 0.754 Tm
0.323 0.105 0.742 Bi
0.323 0.395 0.242 Bi
0.677 0.605 0.758 Bi
0.677 0.895 0.258 Bi
0.000 0.000 0.000 C
0.000 0.500 0.500 C
```

Calculated values
Symmetry ... No. 14
Fermi-level density of states ... 0.95 states/eV/atom
Distance to the lowest polymorph of the same formula ... 0.0000 eV per atom

=====

No. 7
Entry from Alexandria: an optimized crystal structure of TmBiC (PBE).

Geometry as POSCAR:
```
TmBiC
1.0
4.044 0.000 0.000
0.000 4.347 0.000
0.000 0.000 16.837
Tm Bi C
4 4 4
Direct
0.000 0.000 0.108 Tm
0.000 0.000 0.892 Tm
0.500 0.500 0.392 Tm
0.500 0.500 0.608 Tm
0.000 0.000 0.310 Bi
0.000 0.000 0.690 Bi
0.500 0.500 0.190 Bi
0.500 0.500 0.810 Bi
0.000 0.355 0.000 C
0.000 0.645 0.000 C
0.500 0.145 0.500 C
0.500 0.855 0.500 C
```

Calculated values
Symmetry ... No. 71
Fermi-level density of states ... 0.59 states/eV/atom
Total energy ... -5.844 eV per atom

=====

No. 8
Entry from Alexandria: an optimized crystal structure of Tm12Bi5C2 (PBE).

Geometry as POSCAR:
```
Tm12Bi5C2
1.0
8.466 -3.782 0.000
8.466 3.782 0.000
-2.807 0.000 8.723
Tm Bi C
12 5 2
Direct
0.002 0.002 0.167 Tm
0.089 0.618 0.921 Tm
0.132 0.595 0.450 Tm
0.382 0.911 0.079 Tm
0.405 0.868 0.550 Tm
0.495 0.495 0.814 Tm
0.505 0.505 0.186 Tm
0.595 0.132 0.450 Tm
0.618 0.089 0.921 Tm
0.868 0.405 0.550 Tm
0.911 0.382 0.079 Tm
0.998 0.998 0.833 Tm
0.000 0.000 0.500 Bi
0.287 0.287 0.650 Bi
0.313 0.313 0.155 Bi
0.687 0.687 0.845 Bi
0.713 0.713 0.350 Bi
0.263 0.737 0.000 C
0.737 0.263 0.000 C
```

Calculated values
Symmetry ... No. 12
Fermi-level density of states ... 1.14 states/eV/atom
Total energy ... -5.187 eV per atom

=====

No. 9
Entry from Alexandria: an optimized crystal structure of Y2Tm2Bi2C (PBE).

Geometry as POSCAR:
```
Y2Tm2Bi2C
1.0
4.787 0.000 0.000
0.000 4.787 0.000
0.000 0.000 16.017
Y Tm Bi C
4 4 4 2
Direct
0.000 0.000 0.154 Y
0.000 0.000 0.846 Y
0.500 0.500 0.346 Y
0.500 0.500 0.654 Y
0.000 0.500 0.000 Tm
0.000 0.500 0.500 Tm
0.500 0.000 0.000 Tm
0.500 0.000 0.500 Tm
0.000 0.000 0.357 Bi
0.000 0.000 0.643 Bi
0.500 0.500 0.143 Bi
0.500 0.500 0.857 Bi
0.000 0.000 0.000 C
0.500 0.500 0.500 C
```

Calculated values
Symmetry ... No. 139
Fermi-level density of states ... 0.90 states/eV/atom
Total energy ... -6.230 eV per atom

=====

No. 10
Entry from Alexandria: an optimized crystal structure of Y3TmBi2C (PBE).

Geometry as POSCAR:
```
Y3TmBi2C
1.0
4.792 0.000 0.000
0.000 4.861 0.000
0.000 0.000 16.025
Y Tm Bi C
6 2 4 2
Direct
0.000 0.000 0.000 Y
0.000 0.500 0.154 Y
0.000 0.500 0.846 Y
0.500 0.000 0.346 Y
0.500 0.000 0.654 Y
0.500 0.500 0.500 Y
0.000 0.000 0.500 Tm
0.500 0.500 0.000 Tm
0.000 0.500 0.356 Bi
0.000 0.500 0.644 Bi
0.500 0.000 0.144 Bi
0.500 0.000 0.856 Bi
0.000 0.500 0.000 C
0.500 0.000 0.500 C
```

Calculated values
Symmetry ... No. 71
Fermi-level density of states ... 0.86 states/eV/atom
Total energy ... -6.510 eV per atom